No. 1
The following is a PBE calculation of TeHAu after structural relaxation, from the Alexandria database.

Lattice parameters (Å, degrees): 4.1139 4.1139 4.4326 117.65 117.65 90.00
Sites, in units of the cell vectors:
H 0.2880 0.2880 0.5759
Te 0.0086 0.0086 0.0173
Au 0.5534 0.5534 0.1068

Calculated values
final energy = -3.128 eV/atom
M_tot = 0.00 μB per formula unit
distance to the lowest polymorph of the same formula = 189 meV/atom

***

No. 2
The following is a PBE calculation of In2SeBr after structural relaxation, from the Alexandria database.

Lattice parameters (Å, degrees): 6.8128 6.8128 6.8128 147.96 137.68 54.05
Sites, in units of the cell vectors:
Br 0.2693 0.7693 0.5000
In 0.9594 0.9594 0.0000
In 0.7210 0.2210 0.5000
Se 0.5503 0.5503 0.0000

Calculated values
formation energy without anion corrections = -7.77 kcal/mol of atoms
final energy = -2.995 eV/atom
M_tot = 0.00 μB per formula unit
distance to the lowest polymorph of the same formula = 139 meV/atom

***

The lowest final energy belongs to which entry? TeHAu

***

Look up the M_tot of the second one. 0.00 μB per formula unit